[1]
Material: KInRu2
Method: DFT, PBE-GGA
State: relaxed

Cell: 2.9045 2.9045 10.0053 Å, 90.00 90.00 114.22°
Last column: nearest neighbours and their distance in Å.
Fractional coordinates of all 4 atoms:
K 0.5000 0.5000 0.7500  6 K 2.90-3.15, 4 Ru 3.23
Ru 0.0000 0.0000 0.0313  2 In 2.70, 4 Ru 2.90
Ru 0.0000 0.0000 0.4687  2 In 2.70, 4 Ru 2.90
In 0.5000 0.5000 0.2500  4 Ru 2.70, 4 In 2.90

DOS(E_F) in states/eV/cell: 4.4
Symmetry: Cmmm, No. 65

=====

[2]
Material: KInRu2
Method: DFT, PBE-GGA
State: relaxed

Cell: 4.7652 4.7652 4.7652 Å, 60.00 60.00 60.00°
Last column: nearest neighbours and their distance in Å.
Fractional coordinates of all 4 atoms:
In 0.5000 0.5000 0.5000  4 Ru 2.92, 4 K 2.92
K 0.7500 0.7500 0.7500  4 Ru 2.92, 4 In 2.92
Ru 0.2500 0.2500 0.2500  4 In 2.92, 4 Ru 2.92
Ru 0.0000 0.0000 0.0000  4 K 2.92, 4 Ru 2.92

DOS(E_F) in states/eV/cell: 4.4
Symmetry: F-43m, No. 216

=====

Result set for formation energy from the elements: 0.84 1.00 eV/atom, one per record in the order listed.